Compound: MgGaCo2
Source: the Alexandria database
Functional: PBE
Structure: optimized geometry

a b c (Å): 5.672 5.672 5.672
angles (deg): 152.34 133.76 54.74
Element x y z (fractional)
Mg  0.000  0.000  0.000
Ga  0.500  0.500  0.000
Co  0.269  0.269  0.000
Co  0.731  0.731  0.000

Computed properties:
* theoretical density: 5.78 g cm⁻³
* total magnetization: 0.784 μB per atom
* total energy: -4.222 eV per atom

---

Compound: Mg3Ga7Co2
Source: the Alexandria database
Functional: PBE
Structure: optimized geometry

a b c (Å): 6.567 6.567 9.373
angles (deg): 92.41 92.41 92.27
Element x y z (fractional)
Mg  0.148  0.852  0.750
Mg  0.255  0.363  0.696
Mg  0.363  0.255  0.196
Mg  0.637  0.745  0.804
Mg  0.745  0.637  0.304
Mg  0.852  0.148  0.250
Ga  0.056  0.191  0.974
Ga  0.110  0.444  0.398
Ga  0.191  0.056  0.474
Ga  0.230  0.770  0.250
Ga  0.306  0.568  0.981
Ga  0.432  0.694  0.519
Ga  0.444  0.110  0.898
Ga  0.556  0.890  0.102
Ga  0.568  0.306  0.481
Ga  0.694  0.432  0.019
Ga  0.770  0.230  0.750
Ga  0.809  0.944  0.526
Ga  0.890  0.556  0.602
Ga  0.944  0.809  0.026
Co  0.032  0.484  0.145
Co  0.484  0.032  0.645
Co  0.516  0.968  0.355
Co  0.968  0.516  0.855

Computed properties:
* theoretical density: 5.59 g cm⁻³
* total magnetization: 0.000 μB per atom
* total energy: -3.596 eV per atom

---

Compound: Mg2Ga2Co
Source: the Alexandria database
Functional: PBE
Structure: optimized geometry

a b c (Å): 11.750 11.750 11.750
angles (deg): 160.09 160.09 28.30
Element x y z (fractional)
Mg  0.050  0.300  0.750
Mg  0.300  0.050  0.250
Mg  0.700  0.950  0.750
Mg  0.950  0.700  0.250
Ga  0.178  0.428  0.750
Ga  0.428  0.178  0.250
Ga  0.572  0.822  0.750
Ga  0.822  0.572  0.250
Co  0.375  0.625  0.750
Co  0.625  0.375  0.250

Computed properties:
* ΔE to the lowest computed polymorph: 0.000 eV per atom
* theoretical density: 4.36 g cm⁻³
* total magnetization: 0.000 μB per atom

---

Compound: MgGa2Co2
Source: the Alexandria database
Functional: PBE
Structure: optimized geometry

a b c (Å): 6.934 6.934 2.831
angles (deg): 90.00 90.00 90.00
Element x y z (fractional)
Mg  0.000  0.000  0.000
Mg  0.500  0.500  0.000
Ga  0.154  0.346  0.500
Ga  0.346  0.846  0.500
Ga  0.654  0.154  0.500
Ga  0.846  0.654  0.500
Co  0.142  0.642  0.000
Co  0.358  0.142  0.000
Co  0.642  0.858  0.000
Co  0.858  0.358  0.000

Computed properties:
* ΔE to the lowest computed polymorph: 0.006 eV per atom
* theoretical density: 6.87 g cm⁻³
* total magnetization: 0.000 μB per atom

---

Compound: Mg2GaCo2
Source: the Alexandria database
Functional: PBE
Structure: optimized geometry

a b c (Å): 6.046 6.046 4.117
angles (deg): 90.00 90.00 90.00
Element x y z (fractional)
Mg  0.169  0.331  0.000
Mg  0.331  0.831  0.000
Mg  0.669  0.169  0.000
Mg  0.831  0.669  0.000
Ga  0.000  0.000  0.500
Ga  0.500  0.500  0.500
Co  0.131  0.631  0.500
Co  0.369  0.131  0.500
Co  0.631  0.869  0.500
Co  0.869  0.369  0.500

Computed properties:
* theoretical density: 5.21 g cm⁻³
* total magnetization: 0.000 μB per atom
* total energy: -4.224 eV per atom

---

Compound: Mg14GaCo
Source: the Alexandria database
Functional: PBE
Structure: optimized geometry

a b c (Å): 6.198 6.198 10.047
angles (deg): 90.00 90.00 120.00
Element x y z (fractional)
Mg  0.000  0.000  0.249
Mg  0.000  0.000  0.751
Mg  0.012  0.506  0.263
Mg  0.012  0.506  0.737
Mg  0.330  0.165  0.500
Mg  0.335  0.168  0.000
Mg  0.494  0.506  0.263
Mg  0.494  0.506  0.737
Mg  0.494  0.988  0.263
Mg  0.494  0.988  0.737
Mg  0.832  0.168  0.000
Mg  0.832  0.665  0.000
Mg  0.835  0.165  0.500
Mg  0.835  0.670  0.500
Ga  0.333  0.667  0.000
Co  0.333  0.667  0.500

Computed properties:
* ΔE to the lowest computed polymorph: 0.004 eV per atom
* theoretical density: 2.33 g cm⁻³
* total magnetization: 0.036 μB per atom